Entry 1:
The following is a PBEsol calculation of crystalline ScCu2PdI at its relaxed geometry, from Alexandria via LeMat-Bulk.

The formation energy without anion corrections comes out at 932.9 meV/atom.

a b c (Å): 4.6548 4.6548 5.2108
angles (deg): 90.00 90.00 90.00
Closest atoms and distances in Å follow each position.
Space group P4/mmm (No. 123)
Symmetry-distinct sites (fractional):
1 Sc 0.0000 0.0000 0.0000 x1  2 I 2.61
2 Cu 0.0000 0.5000 0.5000 x2  2 I 2.33
3 Pd 0.5000 0.5000 0.0000 x1  4 Sc 3.29, 8 Cu 3.49
4 I 0.0000 0.0000 0.5000 x1  4 Cu 2.33, 2 Sc 2.61


Entry 2:
The following is a PBEsol calculation of crystalline CuTe2PdI at its relaxed geometry, from Alexandria via LeMat-Bulk.

The formation energy without anion corrections comes out at 663.1 meV/atom.

a b c (Å): 5.2070 5.2070 5.3467
angles (deg): 90.00 90.00 90.00
Closest atoms and distances in Å follow each position.
Space group P4/mmm (No. 123)
Symmetry-distinct sites (fractional):
1 Cu 0.0000 0.0000 0.0000 x1  4 I 3.68, 8 Te 3.73
2 Te 0.0000 0.5000 0.5000 x2  2 Pd 2.60
3 Pd 0.5000 0.5000 0.5000 x1  4 Te 2.60, 2 I 2.67
4 I 0.5000 0.5000 0.0000 x1  2 Pd 2.67


Entry 3:
The following is a PBEsol calculation of crystalline Cu3PtI at its relaxed geometry, from Alexandria via LeMat-Bulk.

The formation energy without anion corrections comes out at 777.8 meV/atom.

a b c (Å): 4.6873 4.6873 4.6873
angles (deg): 90.00 90.00 90.00
Closest atoms and distances in Å follow each position.
Space group Pm-3m (No. 221)
Symmetry-distinct sites (fractional):
1 Cu 0.0000 0.0000 0.5000 x3  2 Pt 2.34
2 Pt 0.0000 0.0000 0.0000 x1  6 Cu 2.34
3 I 0.5000 0.5000 0.5000 x1  12 Cu 3.31


Entry 4:
The following is a PBEsol calculation of crystalline RbCuI2 at its relaxed geometry, from Alexandria via LeMat-Bulk.

As for the relative energy among the computed polymorphs: 511 meV per atom. The formation energy without anion corrections comes out at -239.8 meV/atom.

a b c (Å): 7.9211 7.9211 7.9211
angles (deg): 90.00 90.00 90.00
Closest atoms and distances in Å follow each position.
Space group Fm-3m (No. 225)
Symmetry-distinct sites (fractional):
1 Rb 0.0000 0.0000 0.0000 x4  8 I 3.43
2 Cu 0.0000 0.0000 0.5000 x4  8 I 3.43
3 I 0.2500 0.2500 0.2500 x8  4 Rb 3.43, 4 Cu 3.43


Entry 5:
The following is a PBEsol calculation of crystalline RbCuI2 at its relaxed geometry, from Alexandria via LeMat-Bulk.

As for the relative energy among the computed polymorphs: 0 meV per atom. The formation energy without anion corrections comes out at -750.7 meV/atom.

a b c (Å): 8.0990 8.0990 8.5008
angles (deg): 90.00 90.00 90.00
Closest atoms and distances in Å follow each position.
Space group I-42d (No. 122)
Symmetry-distinct sites (fractional):
1 Rb 0.0000 0.0000 0.0000 x4  8 I 3.63-3.97
2 Cu 0.0000 0.0000 0.5000 x4  4 I 2.60
3 I 0.1521 0.7500 0.6250 x8  2 Cu 2.60


Entry 6:
The following is a PBEsol calculation of crystalline RbCuSbI2 at its relaxed geometry, from Alexandria via LeMat-Bulk.

The formation energy without anion corrections comes out at 998.1 meV/atom.

a b c (Å): 6.5948 6.5948 6.6081
angles (deg): 90.00 90.00 90.00
Closest atoms and distances in Å follow each position.
Space group P4/mmm (No. 123)
Symmetry-distinct sites (fractional):
1 Rb 0.0000 0.0000 0.0000 x1  4 I 3.30, 2 Sb 3.30
2 Cu 0.5000 0.5000 0.5000 x1  4 Sb 4.66, 8 I 4.67
3 Sb 0.0000 0.0000 0.5000 x1  2 Rb 3.30
4 I 0.0000 0.5000 0.0000 x2  2 Rb 3.30


Entry 7:
The following is a PBEsol calculation of crystalline Rb2YCuI6 at its relaxed geometry, from Alexandria via LeMat-Bulk.

The formation energy without anion corrections comes out at -1106.0 meV/atom.

a b c (Å): 11.5542 11.5542 11.5542
angles (deg): 90.00 90.00 90.00
Closest atoms and distances in Å follow each position.
Space group Fm-3m (No. 225)
Symmetry-distinct sites (fractional):
1 Rb 0.2500 0.2500 0.2500 x8  12 I 4.09
2 Y 0.0000 0.0000 0.0000 x4  6 I 2.98
3 Cu 0.0000 0.0000 0.5000 x4  6 I 2.80
4 I 0.0000 0.0000 0.2579 x24  1 Cu 2.80, 1 Y 2.98


Entry 8:
The following is a PBEsol calculation of crystalline CuSbRhI2 at its relaxed geometry, from Alexandria via LeMat-Bulk.

The formation energy without anion corrections comes out at 624.6 meV/atom.

a b c (Å): 5.4183 5.4183 4.9016
angles (deg): 90.00 90.00 90.00
Closest atoms and distances in Å follow each position.
Space group P4/mmm (No. 123)
Symmetry-distinct sites (fractional):
1 Cu 0.0000 0.0000 0.0000 x1  8 I 3.65, 4 Sb 3.83
2 Sb 0.5000 0.5000 0.0000 x1  2 Rh 2.45
3 Rh 0.5000 0.5000 0.5000 x1  2 Sb 2.45, 4 I 2.71
4 I 0.0000 0.5000 0.5000 x2  2 Rh 2.71


Entry 9:
The following is a PBEsol calculation of crystalline TiCuRh2I at its relaxed geometry, from Alexandria via LeMat-Bulk.

The formation energy without anion corrections comes out at 813.3 meV/atom.

a b c (Å): 4.5335 4.5335 4.6690
angles (deg): 90.00 90.00 90.00
Closest atoms and distances in Å follow each position.
Space group P4/mmm (No. 123)
Symmetry-distinct sites (fractional):
1 Ti 0.0000 0.0000 0.0000 x1  4 Rh 2.27, 2 Cu 2.33
2 Cu 0.0000 0.0000 0.5000 x1  2 Ti 2.33
3 Rh 0.0000 0.5000 0.0000 x2  2 Ti 2.27
4 I 0.5000 0.5000 0.5000 x1  4 Cu 3.21, 8 Rh 3.25


Entry 10:
The following is a PBEsol calculation of crystalline CuSI2 at its relaxed geometry, from Alexandria via LeMat-Bulk.

As for the relative energy among the computed polymorphs: 0 meV per atom. The formation energy without anion corrections comes out at -36.1 meV/atom.

a b c (Å): 6.5580 3.7767 8.9692
angles (deg): 90.00 104.65 90.00
Closest atoms and distances in Å follow each position.
Space group Cm (No. 8)
Symmetry-distinct sites (fractional):
1 Cu 0.0000 0.0000 0.0000 x2  3 S 2.25-2.26
2 S 0.3109 0.0000 0.9353 x2  3 Cu 2.25-2.26, 1 I 2.49
3 I 0.1084 0.0000 0.2957 x2  1 Cu 2.57
4 I 0.2176 0.0000 0.6481 x2  1 S 2.49


Entry 11:
The following is a PBEsol calculation of crystalline Cu2SI at its relaxed geometry, from Alexandria via LeMat-Bulk.

The formation energy without anion corrections comes out at -179.7 meV/atom.

a b c (Å): 5.5178 5.5178 11.0264
angles (deg): 90.00 90.00 90.00
Closest atoms and distances in Å follow each position.
Space group I-42d (No. 122)
Symmetry-distinct sites (fractional):
1 Cu 0.1845 0.2500 0.1250 x8  2 S 2.20
2 S 0.0000 0.0000 0.0000 x4  4 Cu 2.20
3 I 0.0000 0.0000 0.5000 x4  4 Cu 2.61


Entry 12:
The following is a PBEsol calculation of crystalline Cu2SI2 at its relaxed geometry, from Alexandria via LeMat-Bulk.

The formation energy without anion corrections comes out at -44.4 meV/atom.

a b c (Å): 4.0216 5.8582 6.7074
angles (deg): 84.38 86.56 72.19
Closest atoms and distances in Å follow each position.
Space group P1 (No. 1)
Symmetry-distinct sites (fractional):
1 Cu 0.0000 0.0000 0.0000 x1  2 S 2.19-2.21
2 Cu 0.4199 0.9641 0.6028 x1  1 S 2.18
3 S 0.4633 0.1018 0.8877 x1  3 Cu 2.18-2.21
4 I 0.3948 0.5910 0.8529 x1  2 Cu 2.65-2.68, 1 S 2.78
5 I 0.9077 0.0510 0.3779 x1  3 Cu 2.52-2.57